First-principles (PBE) data for crystalline MnPb2W at its relaxed geometry, as listed in Alexandria via LeMat-Bulk.

Structure (POSCAR):
```
MnPb2W
1.0
-2.9466 -3.0456 -2.6801
-0.5809 -2.0445 -4.5414
2.7448 -4.7901 0.9121
Pb Mn W
2 1 1
Direct
0.4957 0.4957 0.5037
0.0043 0.0043 0.9963
0.2500 0.2500 0.2500
0.7500 0.7500 0.7500
```

Calculated values
- ρ: 13.00 g cm⁻³
- Energy of formation: 0.95 eV per atom